K3Fe2Se4 | PBE | optimized geometry

a = 16.289 Å, b = 8.266 Å, c = 15.872 Å
α = 90.00°, β = 90.00°, γ = 90.00°
Positions (direct):
K 0.019 0.221 0.048
K 0.019 0.779 0.548
K 0.221 0.268 0.508
K 0.221 0.732 0.008
K 0.227 0.177 0.258
K 0.227 0.823 0.758
K 0.273 0.323 0.758
K 0.273 0.677 0.258
K 0.279 0.232 0.008
K 0.279 0.768 0.508
K 0.481 0.279 0.548
K 0.481 0.721 0.048
K 0.519 0.279 0.952
K 0.519 0.721 0.452
K 0.721 0.232 0.492
K 0.721 0.768 0.992
K 0.727 0.323 0.742
K 0.727 0.677 0.242
K 0.773 0.177 0.242
K 0.773 0.823 0.742
K 0.779 0.268 0.992
K 0.779 0.732 0.492
K 0.981 0.221 0.452
K 0.981 0.779 0.952
Fe 0.058 0.179 0.814
Fe 0.058 0.821 0.314
Fe 0.059 0.413 0.701
Fe 0.059 0.587 0.201
Fe 0.441 0.087 0.201
Fe 0.441 0.913 0.701
Fe 0.442 0.321 0.314
Fe 0.442 0.679 0.814
Fe 0.558 0.321 0.186
Fe 0.558 0.679 0.686
Fe 0.559 0.087 0.299
Fe 0.559 0.913 0.799
Fe 0.941 0.413 0.799
Fe 0.941 0.587 0.299
Fe 0.942 0.179 0.686
Fe 0.942 0.821 0.186
Se 0.080 0.462 0.848
Se 0.080 0.538 0.348
Se 0.087 0.128 0.668
Se 0.087 0.872 0.168
Se 0.137 0.028 0.906
Se 0.137 0.972 0.406
Se 0.160 0.444 0.128
Se 0.160 0.556 0.628
Se 0.340 0.056 0.628
Se 0.340 0.944 0.128
Se 0.363 0.472 0.406
Se 0.363 0.528 0.906
Se 0.413 0.372 0.168
Se 0.413 0.628 0.668
Se 0.420 0.038 0.348
Se 0.420 0.962 0.848
Se 0.580 0.038 0.152
Se 0.580 0.962 0.652
Se 0.587 0.372 0.332
Se 0.587 0.628 0.832
Se 0.637 0.472 0.094
Se 0.637 0.528 0.594
Se 0.660 0.056 0.872
Se 0.660 0.944 0.372
Se 0.840 0.444 0.372
Se 0.840 0.556 0.872
Se 0.863 0.028 0.594
Se 0.863 0.972 0.094
Se 0.913 0.128 0.832
Se 0.913 0.872 0.332
Se 0.920 0.462 0.652
Se 0.920 0.538 0.152

Properties
- symmetry = No. 60
- electronic total energy (eV per atom) = -4.53
- calculated density (g/cm3) = 3.39